Here is LiMgTe2 after structural relaxation from Alexandria via LeMat-Bulk. Energies are from PBE.

## Properties
**D(E_F)**: 0.47 states/eV/atom
**ΔE_f (raw)**: -201 kJ/mol of formula units

Geometry as CIF:
```
data_LiMgTe2
_space_group_name_H-M_alt 'P 1'
_space_group_IT_number 1
_space_group_name_Hall 'P 1'
_cell_length_a 5.535
_cell_length_b 5.535
_cell_length_c 5.535
_cell_angle_alpha 135.60
_cell_angle_beta 110.41
_cell_angle_gamma 86.37
loop_
_atom_site_label
_atom_site_fract_x
_atom_site_fract_y
_atom_site_fract_z
Li1 0.750 0.250 0.500
Te1 0.004 0.004 0.000
Te2 0.496 0.496 0.000
Mg1 0.250 0.750 0.500
```


Here is LiMgTe2 after structural relaxation from Alexandria via LeMat-Bulk. Energies are from PBE.

## Properties
**D(E_F)**: 0.21 states/eV/atom
**ΔE_f (raw)**: -213 kJ/mol of formula units

Geometry as CIF:
```
data_LiMgTe2
_space_group_name_H-M_alt 'P 1'
_space_group_IT_number 1
_space_group_name_Hall 'P 1'
_cell_length_a 4.025
_cell_length_b 3.465
_cell_length_c 7.681
_cell_angle_alpha 89.66
_cell_angle_beta 90.00
_cell_angle_gamma 90.00
loop_
_atom_site_label
_atom_site_fract_x
_atom_site_fract_y
_atom_site_fract_z
Mg1 0.500 0.750 0.750
Te1 0.000 0.004 0.994
Te2 0.000 0.496 0.506
Li1 0.500 0.250 0.250
```


Here is LiMgTe2 after structural relaxation from Alexandria via LeMat-Bulk. Energies are from PBE.

## Properties
**D(E_F)**: 0.43 states/eV/atom
**ΔE_f (raw)**: -259 kJ/mol of formula units

Geometry as CIF:
```
data_LiMgTe2
_space_group_name_H-M_alt 'P 1'
_space_group_IT_number 1
_space_group_name_Hall 'P 1'
_cell_length_a 4.004
_cell_length_b 7.747
_cell_length_c 5.865
_cell_angle_alpha 33.71
_cell_angle_beta 90.00
_cell_angle_gamma 90.00
loop_
_atom_site_label
_atom_site_fract_x
_atom_site_fract_y
_atom_site_fract_z
Mg1 0.000 0.000 0.500
Te1 0.000 0.000 0.000
Te2 0.500 0.500 0.000
Li1 0.500 0.500 0.500
```


Here is LiMgTe2 after structural relaxation from Alexandria via LeMat-Bulk. Energies are from PBE.

## Properties
**D(E_F)**: 0.40 states/eV/atom
**ΔE_f (raw)**: -88 kJ/mol of formula units

Geometry as CIF:
```
data_LiMgTe2
_space_group_name_H-M_alt 'P 1'
_space_group_IT_number 1
_space_group_name_Hall 'P 1'
_cell_length_a 3.231
_cell_length_b 3.231
_cell_length_c 10.662
_cell_angle_alpha 90.00
_cell_angle_beta 90.00
_cell_angle_gamma 97.43
loop_
_atom_site_label
_atom_site_fract_x
_atom_site_fract_y
_atom_site_fract_z
Te1 0.500 0.500 0.318
Te2 0.000 0.000 0.945
Mg1 0.500 0.500 0.735
Li1 0.000 0.000 0.502
```


Here is LiMgTe2 after structural relaxation from Alexandria via LeMat-Bulk. Energies are from PBE.

## Properties
**D(E_F)**: 0.41 states/eV/atom
**ΔE_f (raw)**: -201 kJ/mol of formula units

Geometry as CIF:
```
data_LiMgTe2
_space_group_name_H-M_alt 'P 1'
_space_group_IT_number 1
_space_group_name_Hall 'P 1'
_cell_length_a 3.804
_cell_length_b 3.804
_cell_length_c 8.091
_cell_angle_alpha 90.00
_cell_angle_beta 90.00
_cell_angle_gamma 113.33
loop_
_atom_site_label
_atom_site_fract_x
_atom_site_fract_y
_atom_site_fract_z
Te1 0.000 0.000 0.506
Te2 0.000 0.000 0.994
Mg1 0.500 0.500 0.750
Li1 0.500 0.500 0.250
```


Here is LiMgTe2 after structural relaxation from Alexandria via LeMat-Bulk. Energies are from PBE.

## Properties
**D(E_F)**: 0.16 states/eV/atom
**ΔE_f (raw)**: -262 kJ/mol of formula units

Geometry as CIF:
```
data_LiMgTe2
_space_group_name_H-M_alt 'P 1'
_space_group_IT_number 1
_space_group_name_Hall 'P 1'
_cell_length_a 3.479
_cell_length_b 4.379
_cell_length_c 7.278
_cell_angle_alpha 90.00
_cell_angle_beta 90.00
_cell_angle_gamma 90.00
loop_
_atom_site_label
_atom_site_fract_x
_atom_site_fract_y
_atom_site_fract_z
Li1 0.000 0.000 0.477
Mg1 0.500 0.500 0.759
Te1 0.500 0.500 0.375
Te2 0.000 0.000 0.889
```